Compound: HgTeS2Cl
Source: Alexandria
Functional: PBE
Structure: optimized geometry

Cell lengths 5.1358, 5.1358, 5.2514 Å; angles 90.00, 90.00, 90.00 degrees
Last column: nearest neighbours and their distance in Å.
Atoms (fractional coordinates):
1 S 0.0000 0.5000 0.0000  2 Te 2.57
2 S 0.5000 0.0000 0.0000  2 Te 2.57
3 Te 0.0000 0.0000 0.0000  4 S 2.57, 2 Cl 2.63
4 Hg 0.5000 0.5000 0.5000  4 Cl 3.63, 8 S 3.67
5 Cl 0.0000 0.0000 0.5000  2 Te 2.63

Summary:
* raw formation energy: 0.271 eV per atom
* crystal system: tetragonal
* total DFT energy (no corrections): -2.44 eV per atom


Compound: Ti5Nb2TcOs2
Source: Alexandria
Functional: PBE
Structure: optimized geometry

Cell lengths 3.0903, 10.4930, 10.4930 Å; angles 90.00, 90.00, 90.00 degrees
Last column: nearest neighbours and their distance in Å.
Atoms (fractional coordinates):
1 Ti 0.5000 0.1948 0.0430  2 Os 2.54, 2 Tc 2.60
2 Ti 0.5000 0.8052 0.9570  2 Os 2.54, 2 Tc 2.60
3 Ti 0.5000 0.0430 0.8052  2 Os 2.54, 2 Tc 2.60
4 Ti 0.5000 0.6948 0.4570  2 Os 2.54, 2 Tc 2.60
5 Ti 0.5000 0.9570 0.1948  2 Os 2.54, 2 Tc 2.60
6 Ti 0.5000 0.3052 0.5430  2 Os 2.54, 2 Tc 2.60
7 Ti 0.5000 0.5430 0.6948  2 Os 2.54, 2 Tc 2.60
8 Ti 0.5000 0.4570 0.3052  2 Os 2.54, 2 Tc 2.60
9 Ti 0.5000 0.5000 0.0000  4 Os 2.57
10 Ti 0.5000 0.0000 0.5000  4 Os 2.57
11 Nb 0.0000 0.6828 0.1828  1 Os 2.65
12 Nb 0.0000 0.3172 0.8172  1 Os 2.65
13 Nb 0.0000 0.1828 0.3172  1 Os 2.65
14 Nb 0.0000 0.8172 0.6828  1 Os 2.65
15 Tc 0.0000 0.0000 0.0000  8 Ti 2.60
16 Tc 0.0000 0.5000 0.5000  8 Ti 2.60
17 Os 0.0000 0.1386 0.6386  6 Ti 2.54-2.57, 1 Nb 2.65
18 Os 0.0000 0.8614 0.3614  6 Ti 2.54-2.57, 1 Nb 2.65
19 Os 0.0000 0.6386 0.8614  6 Ti 2.54-2.57, 1 Nb 2.65
20 Os 0.0000 0.3614 0.1386  6 Ti 2.54-2.57, 1 Nb 2.65

Summary:
* E_form: -148 meV/atom
* crystal system: tetragonal
* total DFT energy (no corrections): -9.39 eV per atom


Compound: Ac3CeTl3
Source: Alexandria
Functional: PBE
Structure: optimized geometry

Cell lengths 7.1714, 7.1714, 10.3942 Å; angles 91.18, 91.18, 107.19 degrees
Last column: nearest neighbours and their distance in Å.
Atoms (fractional coordinates):
1 Ac 0.5882 0.5882 0.3117  5 Tl 3.45-3.77, 2 Ce 3.75-3.87
2 Ac 0.1767 0.8233 0.5000  6 Tl 3.40-3.50
3 Ac 0.8233 0.1767 0.5000  6 Tl 3.40-3.50
4 Ac 0.2328 0.7672 0.0000  6 Tl 3.50-3.58, 4 Ce 3.62-3.63
5 Ac 0.7672 0.2328 0.0000  6 Tl 3.50-3.58, 4 Ce 3.62-3.63
6 Ac 0.4118 0.4118 0.6883  5 Tl 3.45-3.77, 2 Ce 3.75-3.87
7 Ce 0.7160 0.7160 0.9581  4 Tl 3.30-3.50, 4 Ac 3.62-3.63
8 Ce 0.2840 0.2840 0.0419  4 Tl 3.30-3.50, 4 Ac 3.62-3.63
9 Tl 0.9769 0.9769 0.2264  2 Ce 3.30-3.50, 2 Tl 3.43, 5 Ac 3.45-3.58
10 Tl 0.9384 0.5276 0.7376  1 Ce 3.30, 5 Ac 3.40-3.64, 1 Tl 3.43
11 Tl 0.5276 0.9384 0.7376  1 Ce 3.30, 5 Ac 3.40-3.64, 1 Tl 3.43
12 Tl 0.0616 0.4724 0.2624  1 Ce 3.30, 5 Ac 3.40-3.64, 1 Tl 3.43
13 Tl 0.4724 0.0616 0.2624  1 Ce 3.30, 5 Ac 3.40-3.64, 1 Tl 3.43
14 Tl 0.0231 0.0231 0.7736  2 Ce 3.30-3.50, 2 Tl 3.43, 5 Ac 3.45-3.58

Summary:
* E_form: -164 meV/atom
* crystal system: monoclinic
* total DFT energy (no corrections): -3.79 eV per atom


Compound: Ce3Bi3N
Source: Alexandria
Functional: PBE
Structure: optimized geometry

Cell lengths 7.0381, 7.0381, 8.6492 Å; angles 97.60, 97.60, 106.59 degrees
Last column: nearest neighbours and their distance in Å.
Atoms (fractional coordinates):
1 Ce 0.8635 0.8635 0.1258  2 N 2.31-2.36
2 Ce 0.8944 0.5653 0.7322  1 N 2.28
3 Ce 0.5653 0.8944 0.7322  1 N 2.28
4 Ce 0.1056 0.4347 0.2678  1 N 2.28
5 Ce 0.4347 0.1056 0.2678  1 N 2.28
6 Ce 0.1365 0.1365 0.8742  2 N 2.31-2.36
7 Bi 0.6226 0.6226 0.3970  1 Bi 3.01
8 Bi 0.1482 0.8518 0.5000  6 Ce 3.24-3.60, 3 Bi 3.34-3.52
9 Bi 0.8518 0.1482 0.5000  6 Ce 3.24-3.60, 3 Bi 3.34-3.52
10 Bi 0.3050 0.6950 0.0000  4 Ce 3.27-3.35
11 Bi 0.6950 0.3050 0.0000  4 Ce 3.27-3.35
12 Bi 0.3774 0.3774 0.6030  1 Bi 3.01
13 N 0.8529 0.8529 0.8561  4 Ce 2.28-2.36
14 N 0.1471 0.1471 0.1439  4 Ce 2.28-2.36

Summary:
* raw formation energy: -0.879 eV per atom
* crystal system: monoclinic
* total DFT energy (no corrections): -6.27 eV per atom


Compound: Ti2CBr
Source: Alexandria
Functional: PBE
Structure: optimized geometry

Cell lengths 5.3164, 5.3164, 6.3177 Å; angles 65.12, 65.12, 90.00 degrees
Last column: nearest neighbours and their distance in Å.
Atoms (fractional coordinates):
1 C 0.5000 0.5000 0.0000  4 Ti 2.02
2 C 0.2500 0.7500 0.5000  4 Ti 2.02
3 Br 0.0000 0.0000 0.0000  4 Ti 2.58
4 Br 0.7500 0.2500 0.5000  4 Ti 2.58
5 Ti 0.5335 0.1250 0.2500  2 C 2.02
6 Ti 0.2165 0.6250 0.2500  2 C 2.02
7 Ti 0.3750 0.4665 0.7500  2 C 2.02
8 Ti 0.8750 0.7835 0.7500  2 C 2.02

Summary:
* raw formation energy: -0.191 eV per atom
* crystal system: tetragonal
* total DFT energy (no corrections): -6.86 eV per atom


Compound: Ca2NiCl
Source: Alexandria
Functional: PBE
Structure: optimized geometry

Cell lengths 8.0186, 8.0186, 8.0186 Å; angles 153.62, 154.16, 37.27 degrees
Last column: nearest neighbours and their distance in Å.
Atoms (fractional coordinates):
1 Ni 0.1987 0.6987 0.5000  6 Ca 2.75-2.87
2 Ca 0.0641 0.0641 0.0000  2 Ni 2.75, 4 Cl 3.06
3 Ca 0.7834 0.2834 0.5000  4 Ni 2.87, 2 Cl 3.15
4 Cl 0.4538 0.4538 0.0000  6 Ca 3.06-3.15

Summary:
* raw formation energy: -0.735 eV per atom
* crystal system: orthorhombic
* total DFT energy (no corrections): -3.64 eV per atom


Compound: Li2CaOs
Source: Alexandria
Functional: PBE
Structure: optimized geometry

Cell lengths 2.7409, 2.7409, 9.8423 Å; angles 90.00, 90.00, 92.05 degrees
Last column: nearest neighbours and their distance in Å.
Atoms (fractional coordinates):
1 Ca 0.5000 0.5000 0.7500  4 Ca 2.74
2 Li 0.0000 0.0000 0.0492  4 Li 2.74, 4 Os 2.74-2.79
3 Li 0.0000 0.0000 0.4508  4 Li 2.74, 4 Os 2.74-2.79
4 Os 0.5000 0.5000 0.2500  4 Os 2.74, 8 Li 2.74-2.79

Summary:
* E_form: 588 meV/atom
* crystal system: orthorhombic
* total DFT energy (no corrections): -3.68 eV per atom


Compound: SnBiN3
Source: Alexandria
Functional: PBE
Structure: optimized geometry

Cell lengths 4.1472, 4.1472, 4.1472 Å; angles 90.00, 90.00, 90.00 degrees
Last column: nearest neighbours and their distance in Å.
Atoms (fractional coordinates):
1 N 0.0000 0.5000 0.0000  2 Sn 2.07
2 N 0.0000 0.0000 0.5000  2 Sn 2.07
3 N 0.5000 0.0000 0.0000  2 Sn 2.07
4 Bi 0.5000 0.5000 0.5000  12 N 2.93
5 Sn 0.0000 0.0000 0.0000  6 N 2.07

Summary:
* raw formation energy: 1.318 eV per atom
* crystal system: cubic
* total DFT energy (no corrections): -5.25 eV per atom


Compound: La6SiGe2Cl3
Source: Alexandria
Functional: PBE
Structure: optimized geometry

Cell lengths 4.3939, 8.5549, 9.6236 Å; angles 100.80, 103.20, 90.00 degrees
Last column: nearest neighbours and their distance in Å.
Atoms (fractional coordinates):
1 La 0.3379 0.9111 0.6758  1 Si 2.99, 2 Ge 3.02, 3 Cl 3.12-3.14
2 La 0.6695 0.5749 0.3390  3 Ge 3.01-3.02, 3 Cl 3.12
3 La 0.6621 0.0889 0.3242  1 Si 2.99, 2 Ge 3.02, 3 Cl 3.12-3.14
4 La 0.0024 0.2386 0.0048  2 Si 2.99, 1 Ge 3.03, 3 Cl 3.12-3.14
5 La 0.9976 0.7614 0.9952  2 Si 2.99, 1 Ge 3.03, 3 Cl 3.12-3.14
6 La 0.3305 0.4251 0.6610  3 Ge 3.01-3.02, 3 Cl 3.12
7 Si 0.5000 0.0000 0.0000  6 La 2.99
8 Ge 0.8332 0.6670 0.6664  6 La 3.01-3.03
9 Ge 0.1668 0.3330 0.3336  6 La 3.01-3.03
10 Cl 0.5000 0.5000 0.0000  6 La 3.12-3.14
11 Cl 0.8328 0.1672 0.6656  6 La 3.12-3.14
12 Cl 0.1672 0.8328 0.3344  6 La 3.12-3.14

Summary:
* raw formation energy: -1.316 eV per atom
* crystal system: monoclinic
* total DFT energy (no corrections): -5.46 eV per atom


Compound: LiGaNi4
Source: Alexandria
Functional: PBE
Structure: optimized geometry

Cell lengths 3.6190, 6.5672, 10.3653 Å; angles 142.06, 90.05, 105.94 degrees
Last column: nearest neighbours and their distance in Å.
Atoms (fractional coordinates):
1 Li 0.2500 0.0000 0.2500  8 Ni 2.51-2.52, 4 Ga 2.56
2 Li 0.7500 0.0000 0.7500  8 Ni 2.51-2.52, 4 Ga 2.56
3 Ga 0.5000 0.5000 0.0000  8 Ni 2.51-2.52, 4 Li 2.56
4 Ga 0.0000 0.5000 0.5000  8 Ni 2.51-2.52, 4 Li 2.56
5 Ni 0.9998 0.4999 0.1683  8 Ni 2.47-2.56, 2 Li 2.51, 2 Ga 2.51-2.52
6 Ni 0.5002 0.5001 0.3317  8 Ni 2.47-2.56, 2 Li 2.51, 2 Ga 2.51-2.52
7 Ni 0.0002 0.5001 0.8317  8 Ni 2.47-2.56, 2 Li 2.51, 2 Ga 2.51-2.52
8 Ni 0.4998 0.4999 0.6683  8 Ni 2.47-2.56, 2 Li 2.51, 2 Ga 2.51-2.52
9 Ni 0.2503 0.0000 0.5816  8 Ni 2.47-2.56, 2 Ga 2.51, 2 Li 2.51-2.52
10 Ni 0.2497 0.0000 0.9184  8 Ni 2.47-2.56, 2 Ga 2.51, 2 Li 2.51-2.52
11 Ni 0.7497 0.0000 0.4184  8 Ni 2.47-2.56, 2 Ga 2.51, 2 Li 2.51-2.52
12 Ni 0.7503 0.0000 0.0816  8 Ni 2.47-2.56, 2 Ga 2.51, 2 Li 2.51-2.52

Summary:
* E_form: -195 meV/atom
* crystal system: orthorhombic
* total DFT energy (no corrections): -4.87 eV per atom


Compound: CaPm2Ti
Source: Alexandria
Functional: PBE
Structure: optimized geometry

Cell lengths 3.4054, 3.4054, 12.5103 Å; angles 82.18, 82.18, 60.00 degrees
Last column: nearest neighbours and their distance in Å.
Atoms (fractional coordinates):
1 Ca 0.5000 0.5000 0.5000  6 Ca 3.41, 6 Pm 3.80
2 Ti 0.0000 0.0000 0.0000  2 Pm 2.92
3 Pm 0.0788 0.0788 0.7635  1 Ti 2.92
4 Pm 0.9212 0.9212 0.2365  1 Ti 2.92

Summary:
* E_form: 524 meV/atom
* crystal system: trigonal
* total DFT energy (no corrections): -4.33 eV per atom


Compound: Tl2OsCl4O2
Source: Alexandria
Functional: PBE
Structure: optimized geometry

Cell lengths 5.8596, 6.7030, 6.7030 Å; angles 64.63, 79.16, 79.16 degrees
Last column: nearest neighbours and their distance in Å.
Atoms (fractional coordinates):
1 Tl 0.2187 0.6751 0.6751  1 O 3.19, 6 Cl 3.27-3.50
2 Tl 0.7813 0.3249 0.3249  1 O 3.19, 6 Cl 3.27-3.50
3 Os 0.5000 0.0000 0.0000  2 O 1.76
4 Cl 0.3134 0.6651 0.1486  1 Os 2.41
5 Cl 0.6866 0.8514 0.3349  1 Os 2.41
6 Cl 0.6866 0.3349 0.8514  1 Os 2.41
7 Cl 0.3134 0.1486 0.6651  1 Os 2.41
8 O 0.2624 0.1261 0.1261  1 Os 1.76
9 O 0.7376 0.8739 0.8739  1 Os 1.76

Summary:
* raw formation energy: -0.835 eV per atom
* crystal system: monoclinic
* total DFT energy (no corrections): -4.53 eV per atom